A plane-wave DFT calculation with SCAN was carried out for Ca2ZnH2 at its PBEsol-relaxed geometry.

Computed properties:
N(E_F) in states/eV per atom: 0.393
Size of the total moment in μB/f.u.: 0.00
E_tot in eV/cell: -83.903

Unit cell a=3.735 b=3.735 c=12.370 alpha=90.00 beta=90.00 gamma=90.00
Space group I4/mmm (No. 139)
Symmetry-distinct sites (fractional):
Ca  0.000  0.000  0.149 (multiplicity 4)
Zn  0.000  0.000  0.500 (multiplicity 2)
H  0.000  0.500  0.250 (multiplicity 4)

---

A plane-wave DFT calculation with SCAN was carried out for Ca2Zn2H at its PBEsol-relaxed geometry.

Computed properties:
N(E_F) in states/eV per atom: 0.433
Size of the total moment in μB/f.u.: 0.00
E_tot in eV/cell: -97.235

Unit cell a=5.812 b=5.812 c=6.591 alpha=90.00 beta=90.00 gamma=90.00
Space group I4/mmm (No. 139)
Symmetry-distinct sites (fractional):
Ca  0.000  0.500  0.250 (multiplicity 4)
Zn  0.000  0.000  0.181 (multiplicity 4)
H  0.000  0.000  0.500 (multiplicity 2)

---

A plane-wave DFT calculation with SCAN was carried out for KCaHf2Hg at its PBEsol-relaxed geometry.

Computed properties:
Calculated formation energy in eV/f.u.: 4.31
N(E_F) in states/eV per atom: 1.471
Size of the total moment in μB/f.u.: 0.00
E_tot in eV/cell: -207.194

Unit cell a=5.315 b=5.315 c=5.988 alpha=90.00 beta=90.00 gamma=90.00
Space group P4/mmm (No. 123)
Symmetry-distinct sites (fractional):
K  0.000  0.000  0.000 (multiplicity 1)
Ca  0.500  0.500  0.000 (multiplicity 1)
Hf  0.000  0.500  0.500 (multiplicity 2)
Hg  0.000  0.000  0.500 (multiplicity 1)